Record 1
This record from Alexandria describes an optimized crystal structure of Mo2IrW. The functional is PBE.

Cell lengths 9.5787, 9.5787, 9.5787 Å; angles 16.68, 16.68, 16.68 degrees
Element x y z (fractional)
Mo 0.0041 0.0041 0.0041
Mo 0.2500 0.2500 0.2500
W 0.4959 0.4959 0.4959
Ir 0.7500 0.7500 0.7500

## Properties
**SG**: No. 160
**VASP energy**: -10.704 eV/atom
**Crystal system**: trigonal

***

Record 2
This record from Alexandria describes an optimized crystal structure of Mo2IrW. The functional is PBE.

Cell lengths 4.9011, 4.9011, 4.9011 Å; angles 132.70, 132.58, 69.22 degrees
Element x y z (fractional)
W 0.5003 0.5003 0.0000
Ir 0.2500 0.7500 0.5000
Mo 0.7500 0.2500 0.5000
Mo 0.9997 0.9997 0.0000

## Properties
**SG**: No. 44
**VASP energy**: -10.831 eV/atom
**Crystal system**: orthorhombic

***

Record 3
This record from Alexandria describes an optimized crystal structure of MoIrW2. The functional is PBE.

Cell lengths 4.4719, 4.4719, 4.4719 Å; angles 60.00, 60.00, 60.00 degrees
Element x y z (fractional)
Ir 0.5000 0.5000 0.5000
Mo 0.7500 0.7500 0.7500
W 0.2500 0.2500 0.2500
W 0.0000 0.0000 0.0000

## Properties
**SG**: No. 216
**VASP energy**: -11.203 eV/atom
**Crystal system**: cubic

***

Record 4
This record from Alexandria describes an optimized crystal structure of Mo3IrW. The functional is PBE.

Cell lengths 4.6546, 4.6546, 4.6546 Å; angles 90.00, 90.00, 90.00 degrees
Element x y z (fractional)
W 0.0000 0.0000 0.0000
Mo 0.0000 0.0000 0.5000
Mo 0.5000 0.0000 0.0000
Mo 0.0000 0.5000 0.0000
Ir 0.5000 0.5000 0.5000

## Properties
**SG**: No. 221
**VASP energy**: -8.860 eV/atom
**Crystal system**: cubic

***

Record 5
This record from Alexandria describes an optimized crystal structure of Mo2IrW. The functional is PBE.

Cell lengths 3.2365, 3.2365, 6.0152 Å; angles 90.00, 90.00, 90.00 degrees
Element x y z (fractional)
W 0.0000 0.0000 0.5003
Ir 0.5000 0.5000 0.7416
Mo 0.0000 0.0000 0.0117
Mo 0.5000 0.5000 0.2464

## Properties
**SG**: No. 99
**VASP energy**: -10.755 eV/atom
**Crystal system**: tetragonal

***

Record 6
This record from Alexandria describes an optimized crystal structure of MoIrW2. The functional is PBE.

Cell lengths 4.9010, 4.9010, 4.9010 Å; angles 132.42, 132.48, 69.52 degrees
Element x y z (fractional)
Ir 0.2500 0.7500 0.5000
W 0.4999 0.4999 0.0000
W 0.0001 0.0001 0.0000
Mo 0.7500 0.2500 0.5000

## Properties
**SG**: No. 139
**VASP energy**: -11.346 eV/atom
**Crystal system**: tetragonal

***

Record 7
This record from Alexandria describes an optimized crystal structure of MoIrW2. The functional is PBE.

Cell lengths 2.7343, 2.7343, 8.4544 Å; angles 90.00, 90.00, 90.00 degrees
Element x y z (fractional)
Mo 0.5000 0.5000 0.7334
W 0.5000 0.5000 0.2665
W 0.0000 0.0000 0.0006
Ir 0.0000 0.0000 0.4991

## Properties
**SG**: No. 99
**VASP energy**: -11.378 eV/atom
**Crystal system**: tetragonal

***

Record 8
This record from Alexandria describes an optimized crystal structure of Mo4IrW. The functional is PBE.

Cell lengths 5.1494, 5.1494, 5.1494 Å; angles 60.00, 60.00, 60.00 degrees
Element x y z (fractional)
W 0.7500 0.7500 0.7500
Mo 0.3760 0.8720 0.3760
Mo 0.3760 0.3760 0.3760
Mo 0.3760 0.3760 0.8720
Mo 0.8720 0.3760 0.3760
Ir 0.0000 0.0000 0.0000

## Properties
**SG**: No. 216
**VASP energy**: -10.567 eV/atom
**Crystal system**: cubic

***

Record 9
This record from Alexandria describes an optimized crystal structure of MoIr2W. The functional is PBE.

Cell lengths 3.9216, 3.9219, 3.9288 Å; angles 90.00, 90.00, 90.00 degrees
Element x y z (fractional)
Ir 0.0000 0.0000 0.0000
Ir 0.5000 0.5000 0.0000
Mo 0.5000 0.0000 0.5000
W 0.0000 0.5000 0.5000

## Properties
**SG**: No. 123
**VASP energy**: -10.674 eV/atom
**Crystal system**: tetragonal

***

Record 10
This record from Alexandria describes an optimized crystal structure of MoIrW2. The functional is PBE.

Cell lengths 4.8861, 4.8861, 2.7775 Å; angles 90.00, 90.00, 108.83 degrees
Element x y z (fractional)
W 0.5000 0.5000 0.0000
W 0.0000 0.0000 0.0000
Ir 0.5000 0.0000 0.5000
Mo 0.0000 0.5000 0.5000

## Properties
**SG**: No. 65
**VASP energy**: -11.337 eV/atom
**Crystal system**: orthorhombic

***

Record 11
This record from Alexandria describes an optimized crystal structure of Mo2IrW. The functional is PBE.

Cell lengths 4.9203, 4.9203, 4.9203 Å; angles 133.02, 133.02, 68.62 degrees
Element x y z (fractional)
W 0.2500 0.7500 0.5000
Mo 0.0000 0.0000 0.0000
Mo 0.5000 0.5000 0.0000
Ir 0.7500 0.2500 0.5000

## Properties
**SG**: No. 139
**VASP energy**: -10.829 eV/atom
**Crystal system**: tetragonal

***

Record 12
This record from Alexandria describes an optimized crystal structure of MoIr2W. The functional is PBE.

Cell lengths 9.3351, 9.3351, 9.3351 Å; angles 17.14, 17.14, 17.14 degrees
Element x y z (fractional)
W 0.7463 0.7463 0.7463
Mo 0.5039 0.5039 0.5039
Ir 0.0013 0.0013 0.0013
Ir 0.2485 0.2485 0.2485

## Properties
**SG**: No. 160
**VASP energy**: -10.397 eV/atom
**Crystal system**: trigonal

***

Record 13
This record from Alexandria describes an optimized crystal structure of Mo2IrW. The functional is PBE.

Cell lengths 9.5767, 9.5767, 9.5767 Å; angles 16.66, 16.66, 16.66 degrees
Element x y z (fractional)
Mo 0.0041 0.0041 0.0041
Mo 0.4959 0.4959 0.4959
W 0.2500 0.2500 0.2500
Ir 0.7500 0.7500 0.7500

## Properties
**SG**: No. 166
**VASP energy**: -10.710 eV/atom
**Crystal system**: trigonal

***

Record 14
This record from Alexandria describes an optimized crystal structure of Mo2IrW. The functional is PBE.

Cell lengths 4.4763, 2.7425, 5.1431 Å; angles 83.45, 90.00, 90.00 degrees
Element x y z (fractional)
Mo 0.0000 0.0371 0.9886
Mo 0.5000 0.2591 0.2620
Ir 0.5000 0.6260 0.7624
W 0.0000 0.5778 0.4870

## Properties
**SG**: No. 6
**VASP energy**: -10.857 eV/atom
**Crystal system**: monoclinic

***

Record 15
This record from Alexandria describes an optimized crystal structure of MoIrW2. The functional is PBE.

Cell lengths 2.7335, 4.0284, 5.7259 Å; angles 90.00, 90.00, 90.00 degrees
Element x y z (fractional)
W 0.0000 0.0000 0.9987
W 0.5000 0.5000 0.2587
Ir 0.0000 0.0000 0.4995
Mo 0.5000 0.5000 0.7430

## Properties
**SG**: No. 25
**VASP energy**: -11.327 eV/atom
**Crystal system**: orthorhombic

***

Record 16
This record from Alexandria describes an optimized crystal structure of MoIr4W. The functional is PBE.

Cell lengths 2.7861, 6.1311, 7.2866 Å; angles 125.64, 78.98, 76.87 degrees
Element x y z (fractional)
Ir 0.1689 0.4936 0.1686
Ir 0.6687 0.9937 0.6689
Ir 0.8311 0.5064 0.8314
Ir 0.3313 0.0063 0.3311
Mo 0.5000 0.5000 0.5000
W 0.0000 0.0000 0.0000

## Properties
**SG**: No. 12
**VASP energy**: -10.084 eV/atom
**Crystal system**: monoclinic

***

Record 17
This record from Alexandria describes an optimized crystal structure of Mo3IrW. The functional is PBE.

Cell lengths 4.6669, 4.6669, 4.6669 Å; angles 90.00, 90.00, 90.00 degrees
Element x y z (fractional)
Mo 0.0000 0.5000 0.0000
Mo 0.5000 0.0000 0.0000
Mo 0.0000 0.0000 0.5000
W 0.5000 0.5000 0.5000
Ir 0.0000 0.0000 0.0000

## Properties
**SG**: No. 221
**VASP energy**: -8.945 eV/atom
**Crystal system**: cubic

***

Record 18
This record from Alexandria describes an optimized crystal structure of Mo2IrW. The functional is PBE.

Cell lengths 4.9067, 4.9067, 2.7686 Å; angles 90.00, 90.00, 110.52 degrees
Element x y z (fractional)
Ir 0.0000 0.5000 0.5000
W 0.5000 0.0000 0.5000
Mo 0.5000 0.5000 0.0000
Mo 0.0000 0.0000 0.0000

## Properties
**SG**: No. 65
**VASP energy**: -10.820 eV/atom
**Crystal system**: orthorhombic

***

Record 19
This record from Alexandria describes an optimized crystal structure of MoIr4W3. The functional is PBE.

Cell lengths 4.8332, 5.5795, 8.9777 Å; angles 90.00, 90.00, 90.00 degrees
Element x y z (fractional)
Mo 0.0000 0.5000 0.5000
Mo 0.0000 0.5000 0.0000
Ir 0.5000 0.2501 0.5000
Ir 0.1604 0.7498 0.7500
Ir 0.5000 0.7499 0.0000
Ir 0.5000 0.7499 0.5000
Ir 0.8396 0.2502 0.2500
Ir 0.1604 0.2502 0.7500
Ir 0.8396 0.7498 0.2500
Ir 0.5000 0.2501 0.0000
W 0.0000 0.0000 0.0000
W 0.3333 0.5000 0.2500
W 0.3340 0.0000 0.2500
W 0.6667 0.5000 0.7500
W 0.6660 0.0000 0.7500
W 0.0000 0.0000 0.5000

## Properties
**SG**: No. 51
**VASP energy**: -10.953 eV/atom
**Crystal system**: orthorhombic

***

Record 20
This record from Alexandria describes an optimized crystal structure of MoIrW2. The functional is PBE.

Cell lengths 9.5984, 9.5984, 9.5984 Å; angles 16.68, 16.68, 16.68 degrees
Element x y z (fractional)
Ir 0.7500 0.7500 0.7500
W 0.4958 0.4958 0.4958
W 0.0042 0.0042 0.0042
Mo 0.2500 0.2500 0.2500

## Properties
**SG**: No. 166
**VASP energy**: -11.221 eV/atom
**Crystal system**: trigonal

***

Number 1: calculated formation energy 165 meV per atom, DOS at the Fermi energy 4.125 states/eV/f.u.. Number 2: calculated formation energy 38 meV per atom, DOS at the Fermi energy 4.360 states/eV/f.u.. Number 3: calculated formation energy 197 meV per atom, DOS at the Fermi energy 6.560 states/eV/f.u.. Number 4: calculated formation energy 2001 meV per atom, DOS at the Fermi energy 8.928 states/eV/f.u.. Number 5: calculated formation energy 114 meV per atom, DOS at the Fermi energy 5.023 states/eV/f.u.. Number 6: calculated formation energy 54 meV per atom, DOS at the Fermi energy 4.011 states/eV/f.u.. Number 7: calculated formation energy 22 meV per atom, DOS at the Fermi energy 2.552 states/eV/f.u.. Number 8: calculated formation energy 289 meV per atom, DOS at the Fermi energy 5.093 states/eV/f.u.. Number 9: calculated formation energy -297 meV per atom, DOS at the Fermi energy 1.666 states/eV/f.u.. Number 10: calculated formation energy 62 meV per atom, DOS at the Fermi energy 3.088 states/eV/f.u.. Number 11: calculated formation energy 40 meV per atom, DOS at the Fermi energy 4.045 states/eV/f.u.. Number 12: calculated formation energy -20 meV per atom, DOS at the Fermi energy 3.027 states/eV/f.u.. Number 13: calculated formation energy 159 meV per atom, DOS at the Fermi energy 4.397 states/eV/f.u.. Number 14: calculated formation energy 13 meV per atom, DOS at the Fermi energy 3.185 states/eV/f.u.. Number 15: calculated formation energy 72 meV per atom, DOS at the Fermi energy 3.033 states/eV/f.u.. Number 16: calculated formation energy -212 meV per atom, DOS at the Fermi energy 4.810 states/eV/f.u.. Number 17: calculated formation energy 1917 meV per atom, DOS at the Fermi energy 5.861 states/eV/f.u.. Number 18: calculated formation energy 49 meV per atom, DOS at the Fermi energy 4.340 states/eV/f.u.. Number 19: calculated formation energy -311 meV per atom, DOS at the Fermi energy 2.832 states/eV/f.u.. Number 20: calculated formation energy 179 meV per atom, DOS at the Fermi energy 3.943 states/eV/f.u..